(1)
## ZnFe4Te (PBE-GGA)

Data for ZnFe4Te after structural relaxation.

```
ZnFe4Te
1.0
0.000 3.498 3.498
3.498 0.000 3.498
3.498 3.498 0.000
Zn Fe Te
1 4 1
Direct
0.000 0.000 0.000
0.121 0.626 0.626
0.626 0.121 0.626
0.626 0.626 0.121
0.626 0.626 0.626
0.250 0.250 0.250
```

N(E_F) = 6.4 states/eV per cell
symmetry = F-43m
uncorrected formation energy = 1.680 eV per formula unit
size of the total moment = 9.63 Bohr magnetons per cell


(2)
## Dy7Y3Ho2 (PBE-GGA)

Data for Dy7Y3Ho2 after structural relaxation.

```
Dy7Y3Ho2
1.0
5.769 0.000 0.000
0.000 3.574 0.000
-1.127 0.000 18.571
Dy Y Ho
7 3 2
Direct
0.000 0.000 0.000
0.185 0.500 0.179
0.258 0.500 0.537
0.316 0.000 0.856
0.684 0.000 0.144
0.742 0.500 0.463
0.815 0.500 0.821
0.219 0.000 0.367
0.500 0.500 0.000
0.781 0.000 0.633
0.293 0.500 0.705
0.707 0.500 0.295
```

N(E_F) = 15.7 states/eV per cell
symmetry = P2/m
relative energy among the computed polymorphs = 0.12 eV per formula unit
calculated formation energy = 0.09 eV per atom
size of the total moment = 0.00 Bohr magnetons per cell


(3)
## KHIrAuCl (PBE-GGA)

Data for KHIrAuCl after structural relaxation.

```
KHIrAuCl
1.0
4.139 -1.984 0.000
4.139 1.984 0.000
-0.281 0.000 7.813
K H Ir Au Cl
1 1 1 1 1
Direct
0.000 0.000 0.000
0.320 0.320 0.432
0.320 0.320 0.636
0.625 0.625 0.640
0.312 0.312 0.183
```

N(E_F) = 3.9 states/eV per cell
symmetry = Cm
relative energy among the computed polymorphs = 1.38 eV per formula unit
size of the total moment = 0.29 Bohr magnetons per cell


(4)
## CuB2Rh3 (PBE-GGA)

Data for CuB2Rh3 after structural relaxation.

```
CuB2Rh3
1.0
5.620 -2.741 0.000
5.620 2.741 0.000
-2.319 0.000 4.591
Cu B Rh
2 4 6
Direct
0.000 0.000 0.000
0.500 0.500 0.000
0.144 0.144 0.452
0.356 0.356 0.164
0.644 0.644 0.836
0.856 0.856 0.548
0.028 0.527 0.777
0.250 0.750 0.500
0.473 0.972 0.223
0.527 0.028 0.777
0.750 0.250 0.500
0.972 0.473 0.223
```

N(E_F) = 6.9 states/eV per cell
symmetry = C2/m
calculated formation energy = -0.25 eV per atom
size of the total moment = 0.00 Bohr magnetons per cell


(5)
## Sr2AcCdO4 (PBE-GGA)

Data for Sr2AcCdO4 after structural relaxation.

```
Sr2AcCdO4
1.0
6.346 0.000 0.000
0.000 3.762 0.000
-2.004 0.000 6.145
Sr Ac Cd O
2 1 1 4
Direct
0.000 0.000 0.000
0.500 0.500 0.000
0.000 0.500 0.500
0.500 0.000 0.500
0.221 0.500 0.232
0.232 0.000 0.750
0.768 0.000 0.250
0.779 0.500 0.768
```

N(E_F) = 2.0 states/eV per cell
symmetry = P2/m
uncorrected formation energy = -18.500 eV per formula unit
size of the total moment = 0.00 Bohr magnetons per cell


(6)
## CaSiW2 (PBE-GGA)

Data for CaSiW2 after structural relaxation.

```
CaSiW2
1.0
3.483 0.000 0.000
0.000 4.357 0.000
0.000 0.000 4.588
Ca Si W
1 1 2
Direct
0.000 0.000 0.000
0.500 0.500 0.000
0.000 0.500 0.500
0.500 0.000 0.500
```

N(E_F) = 3.2 states/eV per cell
symmetry = Pmmm
uncorrected formation energy = 2.577 eV per formula unit
size of the total moment = 0.00 Bohr magnetons per cell


(7)
## CaZr2In (PBE-GGA)

Data for CaZr2In after structural relaxation.

```
CaZr2In
1.0
3.292 0.000 0.000
0.000 4.644 0.000
0.000 0.000 6.520
Ca Zr In
1 2 1
Direct
0.000 0.000 0.000
0.500 0.500 0.265
0.500 0.500 0.735
0.000 0.000 0.500
```

N(E_F) = 5.5 states/eV per cell
symmetry = Pmmm
calculated formation energy = 0.12 eV per atom
size of the total moment = 0.00 Bohr magnetons per cell


(8)
## Sm2Si4Ni3Ir (PBE-GGA)

Data for Sm2Si4Ni3Ir after structural relaxation.

```
Sm2Si4Ni3Ir
1.0
4.008 0.000 0.000
0.000 4.008 0.000
0.000 0.000 9.782
Sm Si Ni Ir
2 4 3 1
Direct
0.000 0.500 0.241
0.500 0.000 0.759
0.000 0.000 0.000
0.000 0.500 0.637
0.500 0.000 0.363
0.500 0.500 0.000
0.000 0.500 0.878
0.500 0.000 0.122
0.500 0.500 0.500
0.000 0.000 0.500
```

N(E_F) = 4.7 states/eV per cell
symmetry = P-4m2
uncorrected formation energy = -8.892 eV per formula unit
size of the total moment = 0.00 Bohr magnetons per cell


(9)
## ScPaAu4 (PBE-GGA)

Data for ScPaAu4 after structural relaxation.

```
ScPaAu4
1.0
3.575 0.000 0.000
0.000 3.575 0.000
0.000 0.000 9.467
Sc Pa Au
1 1 4
Direct
0.000 0.000 0.000
0.500 0.500 0.500
0.000 0.000 0.315
0.000 0.000 0.685
0.500 0.500 0.153
0.500 0.500 0.847
```

N(E_F) = 5.9 states/eV per cell
symmetry = P4/mmm
calculated formation energy = -0.57 eV per atom
size of the total moment = 0.63 Bohr magnetons per cell


(10)
## Tl2FeCoAs (PBE-GGA)

Data for Tl2FeCoAs after structural relaxation.

```
Tl2FeCoAs
1.0
5.531 0.000 0.000
0.000 5.531 0.000
0.000 0.000 4.275
Tl Fe Co As
2 1 1 1
Direct
0.000 0.500 0.000
0.500 0.000 0.000
0.000 0.000 0.500
0.500 0.500 0.500
0.500 0.500 0.000
```

N(E_F) = 10.0 states/eV per cell
symmetry = P4/mmm
calculated formation energy = 1.06 eV per atom
size of the total moment = 3.26 Bohr magnetons per cell


(11)
## AlF3 (PBE-GGA)

Data for AlF3 after structural relaxation.

```
AlF3
1.0
11.621 0.000 0.000
0.000 11.621 0.000
0.000 0.000 3.639
Al F
10 30
Direct
0.000 0.500 0.000
0.076 0.208 0.000
0.208 0.924 0.000
0.292 0.424 0.000
0.424 0.708 0.000
0.500 0.000 0.000
0.576 0.292 0.000
0.708 0.576 0.000
0.792 0.076 0.000
0.924 0.792 0.000
0.000 0.345 0.000
0.000 0.500 0.500
0.000 0.655 0.000
0.067 0.859 0.000
0.077 0.208 0.500
0.141 0.067 0.000
0.155 0.500 0.000
0.208 0.923 0.500
0.215 0.285 0.000
0.285 0.785 0.000
0.292 0.423 0.500
0.345 0.000 0.000
0.359 0.567 0.000
0.423 0.708 0.500
0.433 0.359 0.000
0.500 0.000 0.500
0.500 0.155 0.000
0.500 0.845 0.000
0.567 0.641 0.000
0.577 0.292 0.500
0.641 0.433 0.000
0.655 0.000 0.000
0.708 0.577 0.500
0.715 0.215 0.000
0.785 0.715 0.000
0.792 0.077 0.500
0.845 0.500 0.000
0.859 0.933 0.000
0.923 0.792 0.500
0.933 0.141 0.000
```

N(E_F) = 0.0 states/eV per cell
symmetry = P4/mbm
uncorrected formation energy = -14.193 eV per formula unit
size of the total moment = 0.00 Bohr magnetons per cell


(12)
## Pm4Dy6Ho (PBE-GGA)

Data for Pm4Dy6Ho after structural relaxation.

```
Pm4Dy6Ho
1.0
-3.316 3.316 8.512
3.316 -3.316 8.512
3.316 3.316 -8.512
Pm Dy Ho
4 6 1
Direct
0.014 0.635 0.000
0.365 0.365 0.378
0.635 0.014 0.000
0.986 0.986 0.622
0.000 0.500 0.500
0.196 0.196 0.644
0.448 0.804 0.000
0.500 0.000 0.500
0.552 0.552 0.356
0.804 0.448 0.000
0.000 0.000 0.000
```

N(E_F) = 14.3 states/eV per cell
symmetry = I-42m
relative energy among the computed polymorphs = 0.00 eV per formula unit
calculated formation energy = 0.30 eV per atom
size of the total moment = 0.00 Bohr magnetons per cell


(13)
## PmYMgSi (PBE-GGA)

Data for PmYMgSi after structural relaxation.

```
PmYMgSi
1.0
0.000 3.644 3.644
3.644 0.000 3.644
3.644 3.644 0.000
Pm Y Mg Si
1 1 1 1
Direct
0.000 0.000 0.000
0.500 0.500 0.500
0.250 0.250 0.250
0.750 0.750 0.750
```

N(E_F) = 3.3 states/eV per cell
symmetry = F-43m
uncorrected formation energy = -1.188 eV per formula unit
size of the total moment = 0.00 Bohr magnetons per cell


(14)
## Nd2DyHo2Sc2 (PBE-GGA)

Data for Nd2DyHo2Sc2 after structural relaxation.

```
Nd2DyHo2Sc2
1.0
8.645 -1.705 0.000
8.645 1.705 0.000
-3.837 0.000 7.400
Nd Dy Ho Sc
2 1 2 2
Direct
0.149 0.149 0.388
0.851 0.851 0.612
0.500 0.500 0.500
0.074 0.074 0.907
0.926 0.926 0.093
0.288 0.288 0.195
0.712 0.712 0.805
```

N(E_F) = 12.6 states/eV per cell
symmetry = C2/m
calculated formation energy = 0.17 eV per atom
size of the total moment = 0.00 Bohr magnetons per cell


(15)
## Cr2CdBr (PBE-GGA)

Data for Cr2CdBr after structural relaxation.

```
Cr2CdBr
1.0
3.365 0.000 0.000
0.000 3.365 0.000
0.000 0.000 7.299
Cr Cd Br
2 1 1
Direct
0.000 0.000 0.237
0.000 0.000 0.763
0.500 0.500 0.000
0.500 0.500 0.500
```

N(E_F) = 1.5 states/eV per cell
symmetry = P4/mmm
relative energy among the computed polymorphs = 1.04 eV per formula unit
uncorrected formation energy = 2.024 eV per formula unit
size of the total moment = 8.93 Bohr magnetons per cell


(16)
## NbSn3Se (PBE-GGA)

Data for NbSn3Se after structural relaxation.

```
NbSn3Se
1.0
5.406 0.000 0.000
0.000 5.406 0.000
0.000 0.000 5.406
Nb Sn Se
1 3 1
Direct
0.000 0.000 0.000
0.000 0.000 0.500
0.000 0.500 0.000
0.500 0.000 0.000
0.500 0.500 0.500
```

N(E_F) = 4.3 states/eV per cell
symmetry = Pm-3m
relative energy among the computed polymorphs = 0.00 eV per formula unit
uncorrected formation energy = 2.309 eV per formula unit
size of the total moment = 2.18 Bohr magnetons per cell


(17)
## AcBi4Pd12 (PBE-GGA)

Data for AcBi4Pd12 after structural relaxation.

```
AcBi4Pd12
1.0
-4.582 4.582 4.582
4.582 -4.582 4.582
4.582 4.582 -4.582
Ac Bi Pd
1 4 12
Direct
0.000 0.000 0.000
0.000 0.000 0.500
0.000 0.500 0.000
0.500 0.000 0.000
0.500 0.500 0.500
0.147 0.501 0.354
0.147 0.793 0.646
0.207 0.354 0.853
0.354 0.147 0.501
0.354 0.853 0.207
0.498 0.646 0.853
0.501 0.354 0.147
0.646 0.147 0.793
0.646 0.853 0.498
0.793 0.646 0.147
0.853 0.207 0.354
0.853 0.498 0.646
```

N(E_F) = 5.0 states/eV per cell
symmetry = Im-3
calculated formation energy = 0.00 eV per atom
size of the total moment = 0.00 Bohr magnetons per cell


(18)
## LiPuZnAs (PBE-GGA)

Data for LiPuZnAs after structural relaxation.

```
LiPuZnAs
1.0
0.000 3.416 3.416
3.416 0.000 3.416
3.416 3.416 0.000
Li Pu Zn As
1 1 1 1
Direct
0.000 0.000 0.000
0.500 0.500 0.500
0.750 0.750 0.750
0.250 0.250 0.250
```

N(E_F) = 10.0 states/eV per cell
symmetry = F-43m
calculated formation energy = -0.43 eV per atom
size of the total moment = 5.87 Bohr magnetons per cell


(19)
## CuSiMo2 (PBE-GGA)

Data for CuSiMo2 after structural relaxation.

```
CuSiMo2
1.0
4.734 -1.365 0.000
4.734 1.365 0.000
-1.399 0.000 4.335
Cu Si Mo
1 1 2
Direct
0.000 0.000 0.000
0.293 0.293 0.699
0.546 0.546 0.526
0.751 0.751 0.172
```

N(E_F) = 2.7 states/eV per cell
symmetry = Cm
uncorrected formation energy = 0.063 eV per formula unit
size of the total moment = 0.00 Bohr magnetons per cell


(20)
## LiPr2RuC (PBE-GGA)

Data for LiPr2RuC after structural relaxation.

```
LiPr2RuC
1.0
5.284 0.000 0.000
0.000 5.284 0.000
0.000 0.000 3.935
Li Pr Ru C
1 2 1 1
Direct
0.000 0.000 0.000
0.000 0.500 0.500
0.500 0.000 0.500
0.500 0.500 0.000
0.500 0.500 0.500
```

N(E_F) = 3.4 states/eV per cell
symmetry = P4/mmm
calculated formation energy = -0.14 eV per atom
size of the total moment = 0.00 Bohr magnetons per cell


(21)
## ZnRe2Ru (PBE-GGA)

Data for ZnRe2Ru after structural relaxation.

```
ZnRe2Ru
1.0
3.045 0.000 0.000
0.000 4.272 0.000
0.000 0.000 4.477
Zn Re Ru
1 2 1
Direct
0.000 0.000 0.000
0.000 0.500 0.500
0.500 0.000 0.500
0.500 0.500 0.000
```

N(E_F) = 3.5 states/eV per cell
symmetry = Pmmm
calculated formation energy = 0.27 eV per atom
size of the total moment = 0.00 Bohr magnetons per cell


(22)
## LiPaGaFe (PBE-GGA)

Data for LiPaGaFe after structural relaxation.

```
LiPaGaFe
1.0
0.000 3.163 3.163
3.163 0.000 3.163
3.163 3.163 0.000
Li Pa Ga Fe
1 1 1 1
Direct
0.000 0.000 0.000
0.250 0.250 0.250
0.750 0.750 0.750
0.500 0.500 0.500
```

N(E_F) = 5.2 states/eV per cell
symmetry = F-43m
calculated formation energy = -0.11 eV per atom
size of the total moment = 0.33 Bohr magnetons per cell


(23)
## SrSm2Rh (PBE-GGA)

Data for SrSm2Rh after structural relaxation.

```
SrSm2Rh
1.0
3.603 0.000 0.000
0.000 3.603 0.000
0.000 0.000 9.897
Sr Sm Rh
1 2 1
Direct
0.000 0.000 0.000
0.500 0.500 0.336
0.500 0.500 0.664
0.000 0.000 0.500
```

N(E_F) = 3.9 states/eV per cell
symmetry = P4/mmm
relative energy among the computed polymorphs = 0.29 eV per formula unit
calculated formation energy = -0.29 eV per atom
size of the total moment = 0.00 Bohr magnetons per cell


(24)
## AgMoRu2 (PBE-GGA)

Data for AgMoRu2 after structural relaxation.

```
AgMoRu2
1.0
2.728 0.000 0.000
0.000 2.728 0.000
0.000 0.000 8.270
Ag Mo Ru
1 1 2
Direct
0.000 0.000 0.000
0.500 0.500 0.269
0.000 0.000 0.526
0.500 0.500 0.733
```

N(E_F) = 3.9 states/eV per cell
symmetry = P4mm
relative energy among the computed polymorphs = 0.46 eV per formula unit
calculated formation energy = 0.32 eV per atom
size of the total moment = 0.00 Bohr magnetons per cell


(25)
## PCI2 (PBE-GGA)

Data for PCI2 after structural relaxation.

```
PCI2
1.0
0.000 3.493 3.493
3.493 0.000 3.493
3.493 3.493 0.000
P C I
1 1 2
Direct
0.000 0.000 0.000
0.500 0.500 0.500
0.250 0.250 0.250
0.750 0.750 0.750
```

N(E_F) = 3.2 states/eV per cell
symmetry = Fm-3m
relative energy among the computed polymorphs = 1.45 eV per formula unit
uncorrected formation energy = 8.477 eV per formula unit
size of the total moment = 1.02 Bohr magnetons per cell